# 1
This record from Alexandria describes a relaxed structure of Rb3Np2SnSe6. The functional is GGA-PBE.

Cell and atoms, written as extended XYZ:
```
12
Lattice="-5.614 4.451 2.296 -1.378 -5.592 -4.841 0.923 -4.512 6.897" Properties=species:S:1:pos:R:3 pbc="T T T"
Rb -1.597 -6.235 -0.246
Rb -4.472 0.581 4.598
Rb -3.035 -2.827 2.176
Np -2.788 -2.250 -2.466
Np -4.204 1.109 -0.079
Sn 0.000 0.000 0.000
Se -5.310 -2.738 4.863
Se -4.819 -1.690 -0.482
Se -0.759 -2.916 -0.510
Se -3.827 -6.253 2.365
Se -1.250 -3.964 4.835
Se -2.242 0.600 1.988
```

ΔE_f (raw) ... -1120 meV per atom
N(E_F) ... 19.88 states/eV/f.u.
Electronic total energy ... -5.5947 eV per atom
Symmetry ... C2/m (12)

# 2
This record from Alexandria describes a relaxed structure of SrNd4Au4. The functional is GGA-PBE.

Cell and atoms, written as extended XYZ:
```
18
Lattice="6.012 0.000 0.000 0.000 9.858 0.000 0.000 0.000 9.858" Properties=species:S:1:pos:R:3 pbc="T T T"
Sr 0.000 0.000 0.000
Sr 3.006 4.929 4.929
Nd 2.451 3.380 8.816
Nd 5.457 5.970 8.309
Nd 2.451 6.478 1.041
Nd 0.555 1.549 5.970
Nd 3.561 8.816 6.478
Nd 0.555 8.309 3.887
Nd 5.457 3.887 1.549
Nd 3.561 1.041 3.380
Au 3.568 7.861 3.540
Au 3.568 1.996 6.318
Au 0.562 8.469 6.925
Au 5.450 2.932 8.469
Au 5.450 6.925 1.389
Au 2.444 3.540 1.996
Au 2.444 6.318 7.861
Au 0.562 1.389 2.932
```

N(E_F) ... 9.83 states/eV/f.u.
Electronic total energy ... -4.3474 eV per atom
Energy relative to the elements ... -585 meV/atom
Symmetry ... P4_2/n (86)

# 3
This record from Alexandria describes a relaxed structure of Pm4Y2Ho3. The functional is GGA-PBE.

Cell and atoms, written as extended XYZ:
```
9
Lattice="3.437 0.000 -0.890 -0.359 8.520 -1.387 0.759 0.147 10.014" Properties=species:S:1:pos:R:3 pbc="T T T"
Pm 1.709 5.861 -0.484
Pm 1.264 3.051 4.880
Pm 2.129 2.806 8.220
Pm 2.574 5.616 2.857
Y 2.533 0.423 2.698
Y 1.305 8.244 5.039
Ho 0.400 3.079 1.546
Ho 3.437 5.588 6.190
Ho 0.000 0.000 0.000
```

N(E_F) ... 14.93 states/eV/f.u.
Electronic total energy ... -4.9914 eV per atom
Energy above the lowest structure with this stoichiometry ... 63 meV/atom
Energy relative to the elements ... 82 meV/atom
Symmetry ... C2/m (12)

# 4
This record from Alexandria describes a relaxed structure of BePt3I. The functional is GGA-PBE.

Cell and atoms, written as extended XYZ:
```
5
Lattice="-4.143 0.978 -1.133 0.129 -3.090 -3.138 -1.491 -2.984 2.877" Properties=species:S:1:pos:R:3 pbc="T T T"
I -2.753 -2.548 -0.697
Be 0.000 0.000 0.000
Pt 0.065 -1.545 -1.569
Pt -0.746 -1.492 1.439
Pt -2.072 0.489 -0.567
```

ΔE_f (raw) ... 307 meV per atom
N(E_F) ... 3.88 states/eV/f.u.
Electronic total energy ... -4.3723 eV per atom
Energy above the lowest structure with this stoichiometry ... 0 meV/atom
Symmetry ... Pm-3m (221)

# 5
This record from Alexandria describes a relaxed structure of SrAg6O4. The functional is GGA-PBE.

Cell and atoms, written as extended XYZ:
```
44
Lattice="-5.494 0.138 -3.722 1.858 -8.332 -3.053 -6.594 -4.970 9.549" Properties=species:S:1:pos:R:3 pbc="T T T"
Sr -7.196 -3.374 1.619
Sr -3.413 -3.069 -3.954
Sr -3.034 -9.789 1.155
Sr -0.223 -5.125 -2.821
Ag -7.177 -7.407 3.517
Ag -4.273 -8.177 5.121
Ag -3.650 -11.754 4.068
Ag -3.053 -5.756 -0.743
Ag -4.421 -3.244 -0.569
Ag -9.486 -5.684 3.008
Ag -5.809 -9.919 3.343
Ag -0.744 -7.479 -0.234
Ag -8.099 -4.055 5.003
Ag -5.957 -4.986 -2.347
Ag -6.580 -1.409 -1.294
Ag -4.976 -8.163 -1.373
Ag -3.345 -6.622 -3.724
Ag -7.013 -9.363 0.661
Ag -8.763 -10.371 3.208
Ag -5.254 -4.999 4.147
Ag -6.885 -6.541 6.498
Ag -3.217 -3.800 2.113
Ag -1.467 -2.792 -0.434
Ag -5.115 -6.581 1.387
Ag -2.747 0.069 -1.861
Ag -2.368 -6.651 3.248
Ag 0.000 0.000 0.000
Ag -2.131 -9.108 -2.229
O -3.641 -7.546 0.200
O -2.525 -4.017 -1.831
O -4.864 -2.507 1.677
O -5.262 -7.851 6.966
O -1.412 -7.322 -3.083
O -3.191 -8.605 3.365
O -4.864 -11.323 5.734
O -6.589 -5.617 2.574
O -8.818 -5.841 5.857
O -4.173 -3.758 5.511
O -7.039 -4.558 -0.591
O -6.057 -9.405 -2.737
O -4.968 -5.312 -4.192
O -5.366 -10.656 1.097
O -7.705 -9.146 4.605
O -5.366 -1.840 -2.960
```

ΔE_f (raw) ... -595 meV per atom
Electronic total energy ... -4.1063 eV per atom
Energy above the lowest structure with this stoichiometry ... 0 meV/atom
Symmetry ... Pnna (52)

# 6
This record from Alexandria describes a relaxed structure of BiMoBr2. The functional is GGA-PBE.

Cell and atoms, written as extended XYZ:
```
4
Lattice="0.589 0.640 5.110 -3.496 2.721 2.691 -3.185 -2.417 3.299" Properties=species:S:1:pos:R:3 pbc="T T T"
Mo 0.000 0.000 0.000
Bi -3.046 0.472 5.550
Br -1.523 0.236 2.775
Br -4.569 0.709 8.325
```

ΔE_f (raw) ... 780 meV per atom
N(E_F) ... 2.57 states/eV/f.u.
Electronic total energy ... -3.7345 eV per atom
Energy above the lowest structure with this stoichiometry ... 697 meV/atom
Symmetry ... Fm-3m (225)

# 7
This record from Alexandria describes a relaxed structure of Ca3Ge4Pd2. The functional is GGA-PBE.

Cell and atoms, written as extended XYZ:
```
9
Lattice="-1.911 -0.814 3.915 2.792 -4.597 -2.102 5.978 4.675 3.890" Properties=species:S:1:pos:R:3 pbc="T T T"
Ca 3.646 1.568 4.614
Ca 0.000 0.000 0.000
Ca 3.213 -2.305 1.089
Ge 0.256 -2.281 2.159
Ge 6.603 1.545 3.544
Ge 3.982 -1.713 4.096
Ge 2.877 0.977 1.607
Pd 1.699 -0.546 3.224
Pd 5.160 -0.191 2.479
```

N(E_F) ... 4.29 states/eV/f.u.
Electronic total energy ... -4.5646 eV per atom
Energy relative to the elements ... -691 meV/atom
Symmetry ... C2/m (12)

# 8
This record from Alexandria describes a relaxed structure of Rb2ScBi2. The functional is GGA-PBE.

Cell and atoms, written as extended XYZ:
```
5
Lattice="-0.376 -2.808 -3.425 3.879 -1.868 1.106 -4.298 -10.530 6.221" Properties=species:S:1:pos:R:3 pbc="T T T"
Sc 0.000 0.000 0.000
Bi -1.461 -7.838 0.818
Bi 0.666 -7.368 3.084
Rb 0.298 -4.307 0.614
Rb -1.093 -10.900 3.288
```

N(E_F) ... 7.13 states/eV/f.u.
Electronic total energy ... -2.8126 eV per atom
Energy above the lowest structure with this stoichiometry ... 658 meV/atom
Energy relative to the elements ... 393 meV/atom
Symmetry ... I4/mmm (139)

# 9
This record from Alexandria describes a relaxed structure of Sr2GeSbPt6. The functional is GGA-PBE.

Cell and atoms, written as extended XYZ:
```
10
Lattice="5.735 0.016 -0.003 -0.021 8.482 2.102 2.855 5.559 6.110" Properties=species:S:1:pos:R:3 pbc="T T T"
Sr 5.721 5.835 4.253
Sr 2.848 8.223 3.956
Ge 0.000 0.000 0.000
Sb 2.857 4.249 1.050
Pt 2.856 4.920 3.630
Pt 4.312 6.418 1.587
Pt 1.391 6.409 1.588
Pt 7.178 7.649 6.621
Pt 4.257 7.640 6.622
Pt 5.713 9.138 4.580
```

ΔE_f (raw) ... -564 meV per atom
N(E_F) ... 4.84 states/eV/f.u.
Electronic total energy ... -5.3989 eV per atom
Symmetry ... R-3m (166)

# 10
This record from Alexandria describes a relaxed structure of AcPmTmGa. The functional is GGA-PBE.

Cell and atoms, written as extended XYZ:
```
4
Lattice="-3.293 -2.064 3.896 2.095 -1.502 4.862 -1.115 2.953 4.507" Properties=species:S:1:pos:R:3 pbc="T T T"
Ac -0.578 -0.153 3.316
Tm 0.000 0.000 0.000
Ga -1.735 -0.460 9.949
Pm -1.157 -0.307 6.632
```

N(E_F) ... 6.97 states/eV/f.u.
Electronic total energy ... -4.0410 eV per atom
Energy relative to the elements ... 48 meV/atom
Symmetry ... F-43m (216)

# 11
This record from Alexandria describes a relaxed structure of ErU4S7. The functional is GGA-PBE.

Cell and atoms, written as extended XYZ:
```
12
Lattice="3.888 0.000 0.000 -1.944 3.367 0.000 0.000 0.000 22.729" Properties=species:S:1:pos:R:3 pbc="T T T"
Er 0.000 0.000 11.365
U 1.944 1.122 1.599
U 0.000 2.245 21.131
U 1.944 1.122 8.163
U 0.000 2.245 14.566
S 0.000 0.000 0.000
S 1.944 1.122 12.923
S 0.000 2.245 9.806
S 1.944 1.122 19.673
S 0.000 2.245 3.056
S 0.000 0.000 6.714
S 0.000 0.000 16.015
```

ΔE_f (raw) ... -1454 meV per atom
N(E_F) ... 15.95 states/eV/f.u.
Electronic total energy ... -8.0046 eV per atom
Symmetry ... P-3m1 (164)

# 12
This record from Alexandria describes a relaxed structure of LaCd2Pd. The functional is GGA-PBE.

Cell and atoms, written as extended XYZ:
```
8
Lattice="4.194 0.000 0.000 0.000 4.194 0.000 2.097 2.097 11.556" Properties=species:S:1:pos:R:3 pbc="T T T"
Cd 3.060 1.048 2.889
Cd 1.134 3.145 2.889
Cd 3.145 3.231 8.667
Cd 5.242 5.157 8.667
Pd 2.097 2.097 0.000
Pd 2.097 4.194 5.778
La 0.000 0.000 0.000
La 4.194 2.097 5.778
```

N(E_F) ... 2.52 states/eV/f.u.
Electronic total energy ... -3.2629 eV per atom
Energy relative to the elements ... -275 meV/atom
Symmetry ... I-42d (122)

# 13
This record from Alexandria describes a relaxed structure of CaHoMgRh. The functional is GGA-PBE.

Cell and atoms, written as extended XYZ:
```
4
Lattice="5.072 0.000 0.000 2.536 4.392 0.000 2.536 1.464 4.141" Properties=species:S:1:pos:R:3 pbc="T T T"
Mg 0.000 0.000 0.000
Ca 7.608 4.392 3.106
Rh 5.072 2.928 2.071
Ho 2.536 1.464 1.035
```

N(E_F) ... 3.40 states/eV/f.u.
Electronic total energy ... -4.1519 eV per atom
Energy relative to the elements ... -271 meV/atom
Symmetry ... F-43m (216)

# 14
This record from Alexandria describes a relaxed structure of Nd3Ga9Pt2. The functional is GGA-PBE.

Cell and atoms, written as extended XYZ:
```
14
Lattice="-0.866 -3.977 1.420 -2.072 -4.324 -6.830 6.782 -4.484 -1.882" Properties=species:S:1:pos:R:3 pbc="T T T"
Nd 0.000 0.000 0.000
Nd 0.929 -5.533 -1.842
Nd 2.914 -7.253 -5.449
Ga 2.355 -4.404 -4.356
Ga 2.209 -9.963 -6.926
Ga 1.635 -2.823 -0.366
Ga 4.466 -10.004 -5.664
Ga -0.623 -2.782 -1.627
Ga 0.222 -8.964 -5.339
Ga 3.621 -3.822 -1.952
Ga 4.183 -9.036 -3.126
Ga -0.339 -3.750 -4.166
Pt 3.941 -6.429 -2.517
Pt -0.098 -6.356 -4.774
```

N(E_F) ... 5.30 states/eV/f.u.
Electronic total energy ... -4.5376 eV per atom
Energy relative to the elements ... -707 meV/atom
Symmetry ... Immm (71)

# 15
This record from Alexandria describes a relaxed structure of TbEr9Sc2. The functional is GGA-PBE.

Cell and atoms, written as extended XYZ:
```
12
Lattice="4.912 0.000 0.000 0.000 4.912 0.000 0.000 0.000 14.717" Properties=species:S:1:pos:R:3 pbc="T T T"
Tb 0.000 0.000 0.000
Er 2.456 2.456 0.000
Er 2.456 2.456 4.946
Er 2.456 2.456 9.771
Er 2.456 0.000 2.517
Er 2.456 0.000 7.358
Er 2.456 0.000 12.199
Er 0.000 2.456 2.517
Er 0.000 2.456 7.358
Er 0.000 2.456 12.199
Sc 0.000 0.000 4.934
Sc 0.000 0.000 9.783
```

N(E_F) ... 18.54 states/eV/f.u.
Electronic total energy ... -4.8257 eV per atom
Energy above the lowest structure with this stoichiometry ... 0 meV/atom
Energy relative to the elements ... 38 meV/atom
Symmetry ... P4/mmm (123)

# 16
This record from Alexandria describes a relaxed structure of Y4Au2O. The functional is GGA-PBE.

Cell and atoms, written as extended XYZ:
```
14
Lattice="6.808 0.000 0.185 0.000 6.953 0.000 -2.293 0.000 7.293" Properties=species:S:1:pos:R:3 pbc="T T T"
Y 2.792 3.527 1.916
Y -1.438 5.215 6.634
Y 5.954 1.738 0.844
Y 2.792 6.903 1.916
Y 4.904 1.738 4.670
Y 1.723 0.050 5.563
Y 1.723 3.427 5.563
Y -0.388 5.215 2.808
Au 4.839 5.215 0.493
Au -0.323 1.738 6.985
Au 0.758 1.738 3.205
Au 3.757 5.215 4.274
O 1.380 5.215 1.480
O 3.135 1.738 5.998
```

ΔE_f (raw) ... -1324 meV per atom
N(E_F) ... 7.58 states/eV/f.u.
Electronic total energy ... -6.6626 eV per atom
Energy above the lowest structure with this stoichiometry ... 0 meV/atom
Symmetry ... P2_1/m (11)

# 17
This record from Alexandria describes a relaxed structure of PrNd2VN4. The functional is GGA-PBE.

Cell and atoms, written as extended XYZ:
```
16
Lattice="3.481 0.000 0.000 -1.741 6.021 0.000 0.000 0.000 12.246" Properties=species:S:1:pos:R:3 pbc="T T T"
Pr 0.000 1.016 9.185
Pr 1.741 5.005 3.062
Nd 0.000 4.441 6.642
Nd 1.741 1.580 0.519
Nd 1.741 1.580 5.604
Nd 0.000 4.441 11.727
V 1.741 3.890 9.185
V 0.000 2.131 3.062
N 0.000 3.221 1.639
N 1.741 2.799 7.762
N 1.741 2.799 10.607
N 0.000 3.221 4.484
N 0.000 0.000 6.123
N 0.000 0.000 0.000
N 0.000 5.022 9.185
N 1.741 0.999 3.062
```

ΔE_f (raw) ... -1163 meV per atom
N(E_F) ... 3.16 states/eV/f.u.
Electronic total energy ... -8.2551 eV per atom
Symmetry ... Cmcm (63)

# 18
This record from Alexandria describes a relaxed structure of Hf2V3Pt. The functional is GGA-PBE.

Cell and atoms, written as extended XYZ:
```
6
Lattice="-2.035 -4.504 1.235 4.861 0.998 1.149 -1.517 4.304 2.682" Properties=species:S:1:pos:R:3 pbc="T T T"
Hf 0.109 -2.466 1.690
Hf 1.201 3.264 3.376
V 0.655 0.399 2.533
V -0.758 2.152 1.341
V -1.776 -0.100 1.958
Pt 0.000 0.000 0.000
```

N(E_F) ... 5.11 states/eV/f.u.
Electronic total energy ... -9.3392 eV per atom
Energy relative to the elements ... -455 meV/atom
Symmetry ... R-3m (166)

# 19
This record from Alexandria describes a relaxed structure of AcTmLuSc. The functional is GGA-PBE.

Cell and atoms, written as extended XYZ:
```
4
Lattice="5.647 0.000 0.000 2.823 4.890 0.000 2.823 1.630 4.611" Properties=species:S:1:pos:R:3 pbc="T T T"
Sc 0.000 0.000 0.000
Ac 8.470 4.890 3.458
Lu 2.823 1.630 1.153
Tm 5.647 3.260 2.305
```

N(E_F) ... 5.35 states/eV/f.u.
Electronic total energy ... -4.7266 eV per atom
Energy relative to the elements ... 132 meV/atom
Symmetry ... F-43m (216)

# 20
This record from Alexandria describes a relaxed structure of La2PaTl. The functional is GGA-PBE.

Cell and atoms, written as extended XYZ:
```
4
Lattice="-1.587 -3.881 -2.220 0.451 -2.619 4.255 -4.706 1.212 1.245" Properties=species:S:1:pos:R:3 pbc="T T T"
Tl -2.921 -2.644 1.640
Pa -0.793 -1.941 -1.110
La -2.353 0.606 0.622
La 0.225 -1.309 2.128
```

N(E_F) ... 8.20 states/eV/f.u.
Electronic total energy ... -5.3576 eV per atom
Energy above the lowest structure with this stoichiometry ... 113 meV/atom
Energy relative to the elements ... 72 meV/atom
Symmetry ... P4/mmm (123)

no.,total magnetic moment (μB per cell)
1,7.00
2,0.00
3,0.00
4,0.00
5,0.00
6,3.05
7,0.00
8,1.78
9,0.00
10,0.00
11,8.86
12,0.00
13,0.00
14,0.00
15,0.00
16,0.00
17,0.00
18,0.00
19,0.00
20,0.56